1.
Computed, not measured: an optimized crystal structure of Mo4AsAuC2 at the PBE-GGA level of DFT.

Calculated values
Its total energy is -8.7202 eV per atom.

```
data_Mo4AsAuC2
_cell_length_a 3.158
_cell_length_b 3.158
_cell_length_c 12.873
_cell_angle_alpha 90.00
_cell_angle_beta 90.00
_cell_angle_gamma 120.00
_space_group_name_H-M_alt 'P 1'
_space_group_IT_number 1
loop_
_space_group_symop_operation_xyz
'x,y,z'
loop_
_atom_site_label
_atom_site_type_symbol
_atom_site_fract_x
_atom_site_fract_y
_atom_site_fract_z
Mo1 Mo 0.000 0.000 0.178
C1 C 0.667 0.333 0.742
Mo2 Mo 0.000 0.000 0.822
Mo3 Mo 0.333 0.667 0.349
C2 C 0.667 0.333 0.258
Au1 Au 0.333 0.667 0.000
As1 As 0.000 0.000 0.500
Mo4 Mo 0.333 0.667 0.651
```


2.
Computed, not measured: an optimized crystal structure of Ag2Ge at the PBE-GGA level of DFT.

Calculated values
For the distance to the lowest polymorph of the same formula, the calculation gives 0.135 eV/atom.

```
data_Ag2Ge
_cell_length_a 5.529
_cell_length_b 5.529
_cell_length_c 5.529
_cell_angle_alpha 60.00
_cell_angle_beta 60.00
_cell_angle_gamma 60.00
_space_group_name_H-M_alt 'P 1'
_space_group_IT_number 1
loop_
_space_group_symop_operation_xyz
'x,y,z'
loop_
_atom_site_label
_atom_site_type_symbol
_atom_site_fract_x
_atom_site_fract_y
_atom_site_fract_z
Ge1 Ge 0.250 0.250 0.250
Ag1 Ag 0.625 0.625 0.125
Ag2 Ag 0.625 0.625 0.625
Ge2 Ge 0.000 0.000 0.000
Ag3 Ag 0.625 0.125 0.625
Ag4 Ag 0.125 0.625 0.625
```


3.
Computed, not measured: an optimized crystal structure of Y4Hf2Co3N3 at the PBE-GGA level of DFT.

Calculated values
Its total energy is -8.5021 eV per atom.

```
data_Y4Hf2Co3N3
_cell_length_a 5.756
_cell_length_b 5.758
_cell_length_c 13.952
_cell_angle_alpha 78.65
_cell_angle_beta 89.28
_cell_angle_gamma 60.08
_space_group_name_H-M_alt 'P 1'
_space_group_IT_number 1
loop_
_space_group_symop_operation_xyz
'x,y,z'
loop_
_atom_site_label
_atom_site_type_symbol
_atom_site_fract_x
_atom_site_fract_y
_atom_site_fract_z
Hf1 Hf 0.652 0.056 0.415
Y1 Y 0.876 0.595 0.106
Co1 Co 0.312 0.293 0.250
N1 N 0.500 0.000 0.000
N2 N 0.353 0.307 0.501
Co2 Co 0.724 0.308 0.251
N3 N 0.194 0.659 0.003
Co3 Co 0.741 0.885 0.249
Y2 Y 0.799 0.077 0.878
Hf2 Hf 0.471 0.734 0.916
Y3 Y 0.035 0.591 0.606
N4 N 0.806 0.341 0.997
Hf3 Hf 0.348 0.944 0.585
Y4 Y 0.698 0.262 0.620
Co4 Co 0.276 0.692 0.749
Y5 Y 0.302 0.738 0.380
Y6 Y 0.965 0.409 0.394
Y7 Y 0.124 0.405 0.894
N5 N 0.647 0.693 0.499
Co5 Co 0.259 0.115 0.751
Y8 Y 0.201 0.923 0.122
Hf4 Hf 0.529 0.266 0.084
Co6 Co 0.688 0.707 0.750
N6 N 0.000 0.000 0.500
```


4.
Computed, not measured: an optimized crystal structure of TbHfPO at the PBE-GGA level of DFT.

Calculated values
For the distance to the lowest polymorph of the same formula, the calculation gives 0.000 eV/atom.

```
data_TbHfPO
_cell_length_a 4.128
_cell_length_b 4.128
_cell_length_c 8.515
_cell_angle_alpha 90.00
_cell_angle_beta 90.00
_cell_angle_gamma 90.00
_space_group_name_H-M_alt 'P 1'
_space_group_IT_number 1
loop_
_space_group_symop_operation_xyz
'x,y,z'
loop_
_atom_site_label
_atom_site_type_symbol
_atom_site_fract_x
_atom_site_fract_y
_atom_site_fract_z
Hf1 Hf 0.500 0.500 0.500
Hf2 Hf 0.000 0.000 0.500
Tb1 Tb 0.000 0.500 0.119
P1 P 0.500 0.000 0.317
P2 P 0.000 0.500 0.683
O1 O 0.000 0.000 0.000
Tb2 Tb 0.500 0.000 0.881
O2 O 0.500 0.500 0.000
```


5.
Computed, not measured: an optimized crystal structure of Hf4CoGe at the PBE-GGA level of DFT.

Calculated values
Its total energy is -9.0155 eV per atom.

```
data_Hf4CoGe
_cell_length_a 5.297
_cell_length_b 5.297
_cell_length_c 5.297
_cell_angle_alpha 104.54
_cell_angle_beta 104.54
_cell_angle_gamma 119.86
_space_group_name_H-M_alt 'P 1'
_space_group_IT_number 1
loop_
_space_group_symop_operation_xyz
'x,y,z'
loop_
_atom_site_label
_atom_site_type_symbol
_atom_site_fract_x
_atom_site_fract_y
_atom_site_fract_z
Hf1 Hf 0.089 0.589 0.178
Hf2 Hf 0.911 0.089 0.500
Ge1 Ge 0.000 0.000 0.000
Hf3 Hf 0.411 0.911 0.822
Hf4 Hf 0.589 0.411 0.500
Co1 Co 0.500 0.500 0.000
```


6.
Computed, not measured: an optimized crystal structure of AcDyNb at the PBE-GGA level of DFT.

Calculated values
For the energy relative to the elements, the calculation gives 0.800 eV/atom. For the distance to the lowest polymorph of the same formula, the calculation gives 0.000 eV/atom.

```
data_AcDyNb
_cell_length_a 5.247
_cell_length_b 5.247
_cell_length_c 5.247
_cell_angle_alpha 60.00
_cell_angle_beta 60.00
_cell_angle_gamma 60.00
_space_group_name_H-M_alt 'P 1'
_space_group_IT_number 1
loop_
_space_group_symop_operation_xyz
'x,y,z'
loop_
_atom_site_label
_atom_site_type_symbol
_atom_site_fract_x
_atom_site_fract_y
_atom_site_fract_z
Ac1 Ac 0.250 0.250 0.250
Nb1 Nb 0.000 0.000 0.000
Dy1 Dy 0.750 0.750 0.750
```


7.
Computed, not measured: an optimized crystal structure of Tm2Te2O5 at the PBE-GGA level of DFT.

Calculated values
For the distance to the lowest polymorph of the same formula, the calculation gives 0.840 eV/atom.

```
data_Tm2Te2O5
_cell_length_a 7.443
_cell_length_b 4.086
_cell_length_c 4.086
_cell_angle_alpha 90.00
_cell_angle_beta 90.00
_cell_angle_gamma 90.00
_space_group_name_H-M_alt 'P 1'
_space_group_IT_number 1
loop_
_space_group_symop_operation_xyz
'x,y,z'
loop_
_atom_site_label
_atom_site_type_symbol
_atom_site_fract_x
_atom_site_fract_y
_atom_site_fract_z
O1 O 0.500 0.500 0.500
Tm1 Tm 0.500 0.000 0.000
O2 O 0.298 0.000 0.500
Tm2 Tm 0.000 0.000 0.000
O3 O 0.298 0.500 0.000
O4 O 0.702 0.500 0.000
Te1 Te 0.796 0.500 0.500
O5 O 0.702 0.000 0.500
Te2 Te 0.204 0.500 0.500
```


8.
Computed, not measured: an optimized crystal structure of HfTaNiP at the PBE-GGA level of DFT.

Calculated values
Its total energy is -9.0163 eV per atom.

```
data_HfTaNiP
_cell_length_a 5.049
_cell_length_b 3.553
_cell_length_c 7.264
_cell_angle_alpha 90.00
_cell_angle_beta 110.27
_cell_angle_gamma 90.00
_space_group_name_H-M_alt 'P 1'
_space_group_IT_number 1
loop_
_space_group_symop_operation_xyz
'x,y,z'
loop_
_atom_site_label
_atom_site_type_symbol
_atom_site_fract_x
_atom_site_fract_y
_atom_site_fract_z
P1 P 0.352 0.250 0.705
Ni1 Ni 0.135 0.750 0.779
Ta1 Ta 0.235 0.750 0.431
Ta2 Ta 0.765 0.250 0.569
Hf1 Hf 0.721 0.750 0.926
Ni2 Ni 0.865 0.250 0.221
P2 P 0.648 0.750 0.295
Hf2 Hf 0.279 0.250 0.074
```